#one
OsRuW2: PBEsol geometry, meta-GGA SCAN.

total magnetic moment	0.00	μB/f.u.

```
data_OsRuW2
_chemical_formula_sum 'Os1 Ru1 W2'
_space_group_name_H-M_alt 'P m m m'
_space_group_IT_number 47
_space_group_name_Hall '-P 2 2'
_cell_length_a 2.765
_cell_length_b 3.840
_cell_length_c 5.532
_cell_angle_alpha 90.00
_cell_angle_beta 90.00
_cell_angle_gamma 90.00
loop_
_atom_site_label
_atom_site_type_symbol
_atom_site_fract_x
_atom_site_fract_y
_atom_site_fract_z
_atom_site_occupancy
Os1 Os 0.000 0.000 0.000 1
Ru1 Ru 0.000 0.000 0.500 1
W1 W 0.500 0.500 0.251 1
```

---

#two
OsRuW2: PBEsol geometry, meta-GGA SCAN.

total magnetic moment	0.00	μB/f.u.

```
data_OsRuW2
_chemical_formula_sum 'Os3 Ru3 W6'
_space_group_name_H-M_alt 'R -3 m'
_space_group_IT_number 166
_space_group_name_Hall '-R 3 2"'
_cell_length_a 2.7571
_cell_length_b 2.7571
_cell_length_c 26.8643
_cell_angle_alpha 90.00
_cell_angle_beta 90.00
_cell_angle_gamma 120.00
loop_
_atom_site_label
_atom_site_type_symbol
_atom_site_fract_x
_atom_site_fract_y
_atom_site_fract_z
_atom_site_occupancy
Os1 Os 0.0000 0.0000 0.0000 1
Ru1 Ru 0.0000 0.0000 0.5000 1
W1 W 0.0000 0.0000 0.2495 1
```

---

Stability ranking, top and bottom: #one is the most stable and #two is the least stable.

---

#one
YOs2Ru: PBEsol geometry, meta-GGA SCAN.

total magnetic moment	0.00	μB/f.u.

```
data_YOs2Ru
_chemical_formula_sum 'Y1 Os2 Ru1'
_space_group_name_H-M_alt 'P 4/m m m'
_space_group_IT_number 123
_space_group_name_Hall '-P 4 2'
_cell_length_a 3.935
_cell_length_b 3.935
_cell_length_c 4.135
_cell_angle_alpha 90.00
_cell_angle_beta 90.00
_cell_angle_gamma 90.00
loop_
_atom_site_label
_atom_site_type_symbol
_atom_site_fract_x
_atom_site_fract_y
_atom_site_fract_z
_atom_site_occupancy
Y1 Y 0.000 0.000 0.000 1
Os1 Os 0.000 0.500 0.500 1
Ru1 Ru 0.500 0.500 0.000 1
```

---

#two
YOs2Ru: PBEsol geometry, meta-GGA SCAN.

total magnetic moment	0.00	μB/f.u.

```
data_YOs2Ru
_chemical_formula_sum 'Y1 Os2 Ru1'
_space_group_name_H-M_alt 'P m m m'
_space_group_IT_number 47
_space_group_name_Hall '-P 2 2'
_cell_length_a 2.987
_cell_length_b 4.543
_cell_length_c 4.697
_cell_angle_alpha 90.00
_cell_angle_beta 90.00
_cell_angle_gamma 90.00
loop_
_atom_site_label
_atom_site_type_symbol
_atom_site_fract_x
_atom_site_fract_y
_atom_site_fract_z
_atom_site_occupancy
Y1 Y 0.000 0.000 0.000 1
Os1 Os 0.000 0.500 0.500 1
Os2 Os 0.500 0.000 0.500 1
Ru1 Ru 0.500 0.500 0.000 1
```

---

Stability ranking, top and bottom: #two is the most stable and #one is the least stable.

---

#one
ZrOsRu2: PBEsol geometry, meta-GGA SCAN.

total magnetic moment	0.00	μB/f.u.

```
data_ZrOsRu2
_chemical_formula_sum 'Zr2 Os2 Ru4'
_space_group_name_H-M_alt 'C 1 2/m 1'
_space_group_IT_number 12
_space_group_name_Hall '-C 2y'
_cell_length_a 9.147
_cell_length_b 2.831
_cell_length_c 4.811
_cell_angle_alpha 90.00
_cell_angle_beta 100.88
_cell_angle_gamma 90.00
loop_
_atom_site_label
_atom_site_type_symbol
_atom_site_fract_x
_atom_site_fract_y
_atom_site_fract_z
_atom_site_occupancy
Zr1 Zr 0.000 0.000 0.000 1
Os1 Os 0.000 0.500 0.500 1
Ru1 Ru 0.240 0.000 0.719 1
```

---

#two
ZrOsRu2: PBEsol geometry, meta-GGA SCAN.

total magnetic moment	0.00	μB/f.u.

```
data_ZrOsRu2
_chemical_formula_sum 'Zr1 Os1 Ru2'
_space_group_name_H-M_alt 'P 1 2/m 1'
_space_group_IT_number 10
_space_group_name_Hall '-P 2y'
_cell_length_a 4.700
_cell_length_b 2.830
_cell_length_c 4.772
_cell_angle_alpha 90.00
_cell_angle_beta 108.52
_cell_angle_gamma 90.00
loop_
_atom_site_label
_atom_site_type_symbol
_atom_site_fract_x
_atom_site_fract_y
_atom_site_fract_z
_atom_site_occupancy
Zr1 Zr 0.000 0.000 0.000 1
Os1 Os 0.000 0.500 0.500 1
Ru1 Ru 0.500 0.000 0.500 1
Ru2 Ru 0.500 0.500 0.000 1
```

---

Stability ranking, top and bottom: #one is the most stable and #two is the least stable.

---

#one
ScSb2Os: PBEsol geometry, meta-GGA SCAN.

total magnetic moment	0.00	μB/f.u.

```
data_ScSb2Os
_chemical_formula_sum 'Sc2 Sb4 Os2'
_space_group_name_H-M_alt 'C 1 2/m 1'
_space_group_IT_number 12
_space_group_name_Hall '-C 2y'
_cell_length_a 8.147
_cell_length_b 3.268
_cell_length_c 6.189
_cell_angle_alpha 90.00
_cell_angle_beta 101.53
_cell_angle_gamma 90.00
loop_
_atom_site_label
_atom_site_type_symbol
_atom_site_fract_x
_atom_site_fract_y
_atom_site_fract_z
_atom_site_occupancy
Sc1 Sc 0.000 0.000 0.000 1
Sb1 Sb 0.243 0.000 0.719 1
Os1 Os 0.000 0.500 0.500 1
```

---

#two
ScSb2Os: PBEsol geometry, meta-GGA SCAN.

total magnetic moment	0.01	μB/f.u.

```
data_ScSb2Os
_chemical_formula_sum 'Sc4 Sb8 Os4'
_space_group_name_H-M_alt 'F m -3 m'
_space_group_IT_number 225
_space_group_name_Hall '-F 4 2 3'
_cell_length_a 6.727
_cell_length_b 6.727
_cell_length_c 6.727
_cell_angle_alpha 90.00
_cell_angle_beta 90.00
_cell_angle_gamma 90.00
loop_
_atom_site_label
_atom_site_type_symbol
_atom_site_fract_x
_atom_site_fract_y
_atom_site_fract_z
_atom_site_occupancy
Sc1 Sc 0.000 0.000 0.000 1
Sb1 Sb 0.250 0.250 0.250 1
Os1 Os 0.000 0.000 0.500 1
```

---

Stability ranking, top and bottom: #one is the most stable and #two is the least stable.

---

#one
Tl2SbOs: PBEsol geometry, meta-GGA SCAN.

total magnetic moment	0.00	μB/f.u.

```
data_Tl2SbOs
_chemical_formula_sum 'Tl2 Sb1 Os1'
_space_group_name_H-M_alt 'P 1 m 1'
_space_group_IT_number 6
_space_group_name_Hall 'P -2y'
_cell_length_a 3.205
_cell_length_b 3.212
_cell_length_c 8.873
_cell_angle_alpha 90.00
_cell_angle_beta 90.38
_cell_angle_gamma 90.00
loop_
_atom_site_label
_atom_site_type_symbol
_atom_site_fract_x
_atom_site_fract_y
_atom_site_fract_z
_atom_site_occupancy
Tl1 Tl 0.000 0.000 0.000 1
Tl2 Tl 0.421 0.500 0.708 1
Sb1 Sb 0.024 0.000 0.387 1
Os1 Os 0.523 0.500 0.222 1
```

---

#two
Tl2SbOs: PBEsol geometry, meta-GGA SCAN.

total magnetic moment	0.00	μB/f.u.

```
data_Tl2SbOs
_chemical_formula_sum 'Tl4 Sb2 Os2'
_space_group_name_H-M_alt 'I -4 m 2'
_space_group_IT_number 119
_space_group_name_Hall 'I -4 -2'
_cell_length_a 5.387
_cell_length_b 5.387
_cell_length_c 5.881
_cell_angle_alpha 90.00
_cell_angle_beta 90.00
_cell_angle_gamma 90.00
loop_
_atom_site_label
_atom_site_type_symbol
_atom_site_fract_x
_atom_site_fract_y
_atom_site_fract_z
_atom_site_occupancy
Tl1 Tl 0.000 0.000 0.000 1
Tl2 Tl 0.000 0.500 0.250 1
Sb1 Sb 0.000 0.000 0.500 1
Os1 Os 0.000 0.500 0.750 1
```

---

Stability ranking, top and bottom: #one is the most stable and #two is the least stable.

---

#one
ScOsSe2: PBEsol geometry, meta-GGA SCAN.

total magnetic moment	0.00	μB/f.u.

```
data_ScOsSe2
_chemical_formula_sum 'Sc2 Os2 Se4'
_space_group_name_H-M_alt 'C m m m'
_space_group_IT_number 65
_space_group_name_Hall '-C 2 2'
_cell_length_a 3.999
_cell_length_b 5.098
_cell_length_c 6.606
_cell_angle_alpha 90.00
_cell_angle_beta 90.00
_cell_angle_gamma 90.00
loop_
_atom_site_label
_atom_site_type_symbol
_atom_site_fract_x
_atom_site_fract_y
_atom_site_fract_z
_atom_site_occupancy
Sc1 Sc 0.000 0.000 0.000 1
Os1 Os 0.000 0.000 0.500 1
Se1 Se 0.000 0.500 0.264 1
```

---

#two
ScOsSe2: PBEsol geometry, meta-GGA SCAN.

total magnetic moment	0.00	μB/f.u.

```
data_ScOsSe2
_chemical_formula_sum 'Sc4 Os4 Se8'
_space_group_name_H-M_alt 'F m -3 m'
_space_group_IT_number 225
_space_group_name_Hall '-F 4 2 3'
_cell_length_a 6.395
_cell_length_b 6.395
_cell_length_c 6.395
_cell_angle_alpha 90.00
_cell_angle_beta 90.00
_cell_angle_gamma 90.00
loop_
_atom_site_label
_atom_site_type_symbol
_atom_site_fract_x
_atom_site_fract_y
_atom_site_fract_z
_atom_site_occupancy
Sc1 Sc 0.000 0.000 0.000 1
Os1 Os 0.000 0.000 0.500 1
Se1 Se 0.250 0.250 0.250 1
```

---

#three
ScOsSe2: PBEsol geometry, meta-GGA SCAN.

total magnetic moment	0.00	μB/f.u.

```
data_ScOsSe2
_chemical_formula_sum 'Sc2 Os2 Se4'
_space_group_name_H-M_alt 'C m m m'
_space_group_IT_number 65
_space_group_name_Hall '-C 2 2'
_cell_length_a 5.677
_cell_length_b 6.680
_cell_length_c 3.928
_cell_angle_alpha 90.00
_cell_angle_beta 90.00
_cell_angle_gamma 90.00
loop_
_atom_site_label
_atom_site_type_symbol
_atom_site_fract_x
_atom_site_fract_y
_atom_site_fract_z
_atom_site_occupancy
Sc1 Sc 0.000 0.000 0.000 1
Os1 Os 0.000 0.500 0.000 1
Se1 Se 0.000 0.282 0.500 1
```

---

Stability ranking, top and bottom: #three is the most stable and #one is the least stable.